Run one
Compound: FeW2Cl
Source: Alexandria via LeMat-Bulk
Functional: SCAN
Structure: single point on PBEsol structure

```
FeW2Cl
1.0
-0.094 -2.769 0.402
0.880 -1.094 2.422
-7.400 -0.575 4.047
Fe W Cl
1 2 1
Cartesian
0.000 0.000 0.000 Fe
-1.603 -1.114 1.697 W
-5.011 -3.323 5.173 W
-3.307 -2.219 3.435 Cl
```

Values from the calculation:
Its density of states at the Fermi level is 0.723 states/eV per atom. As for the crystal system: trigonal.

***

Run two
Compound: FeW2Cl
Source: Alexandria via LeMat-Bulk
Functional: SCAN
Structure: single point on PBEsol structure

```
FeW2Cl
1.0
3.714 0.000 0.000
0.000 3.714 0.000
0.000 0.000 4.358
W Fe Cl
2 1 1
Cartesian
0.000 1.857 0.000 W
1.857 0.000 0.000 W
0.000 0.000 2.179 Fe
1.857 1.857 2.179 Cl
```

Values from the calculation:
Its density of states at the Fermi level is 0.606 states/eV per atom. As for the crystal system: tetragonal.

***

In order of decreasing stability: run one, run two.

***

Run one
Compound: Fe2WCl
Source: Alexandria via LeMat-Bulk
Functional: SCAN
Structure: single point on PBEsol structure

```
Fe2WCl
1.0
-1.251 -0.222 2.477
-1.598 -2.053 -0.991
4.633 -4.539 1.933
W Cl Fe
1 1 2
Cartesian
-1.424 -1.137 0.743 W
0.892 -3.407 1.710 Cl
3.447 -3.376 1.438 Fe
1.186 -1.162 0.495 Fe
```

Values from the calculation:
Its density of states at the Fermi level is 0.949 states/eV per atom. As for the crystal system: tetragonal.

***

Run two
Compound: Fe2WCl
Source: Alexandria via LeMat-Bulk
Functional: SCAN
Structure: single point on PBEsol structure

```
Fe2WCl
1.0
-1.477 1.175 2.133
0.613 -2.235 1.656
5.573 3.115 2.142
Fe Cl W
2 1 1
Cartesian
0.220 0.123 0.085 Fe
0.949 0.242 2.425 Fe
3.687 1.772 3.478 Cl
2.639 1.475 1.014 W
```

Values from the calculation:
Its density of states at the Fermi level is 0.502 states/eV per atom. As for the crystal system: tetragonal.

***

Run three
Compound: Fe2WCl
Source: Alexandria via LeMat-Bulk
Functional: SCAN
Structure: single point on PBEsol structure

```
Fe2WCl
1.0
2.822 0.000 0.000
1.411 2.444 0.000
1.411 0.815 7.852
Fe Cl W
2 1 1
Cartesian
1.411 0.815 7.771 Fe
4.232 2.444 5.995 Fe
1.411 0.815 1.905 Cl
2.822 1.629 3.959 W
```

Values from the calculation:
Its density of states at the Fermi level is 0.674 states/eV per atom. As for the crystal system: trigonal.

***

In order of decreasing stability: run three, run two, run one.

***

Run one
Compound: YFe2Cl
Source: Alexandria via LeMat-Bulk
Functional: SCAN
Structure: single point on PBEsol structure

```
YFe2Cl
1.0
3.051 0.000 0.000
0.000 3.051 0.000
0.000 0.000 7.404
Fe Y Cl
2 1 1
Cartesian
0.000 0.000 2.151 Fe
0.000 0.000 5.252 Fe
1.526 1.526 0.000 Y
1.526 1.526 3.702 Cl
```

Values from the calculation:
Its density of states at the Fermi level is 0.239 states/eV per atom. As for the crystal system: tetragonal.

***

Run two
Compound: YFe2Cl
Source: Alexandria via LeMat-Bulk
Functional: SCAN
Structure: single point on PBEsol structure

```
YFe2Cl
1.0
3.195 0.028 0.000
0.025 4.148 0.000
0.000 0.000 4.927
Fe Y Cl
2 1 1
Cartesian
2.232 3.125 0.000 Fe
0.988 1.050 0.000 Fe
0.000 0.000 2.464 Y
1.610 2.088 2.464 Cl
```

Values from the calculation:
Its density of states at the Fermi level is 0.882 states/eV per atom. As for the crystal system: monoclinic.

***

In order of decreasing stability: run two, run one.